# TlCd2P (PBE-GGA, relaxed)
# **Calculated total energy**: -2.186 eV per atom
data_TlCd2P
_symmetry_space_group_name_H-M 'P 1'
_symmetry_Int_Tables_number 1
_symmetry_space_group_name_Hall 'P 1'
_cell_length_a 3.7838
_cell_length_b 3.0920
_cell_length_c 8.1854
_cell_angle_alpha 78.67
_cell_angle_beta 90.00
_cell_angle_gamma 90.00
loop_
_atom_site_label
_atom_site_fract_x
_atom_site_fract_y
_atom_site_fract_z
_atom_site_occupancy
Cd1 0.0000 0.5898 0.4517 1
Cd2 0.0000 0.9102 0.0483 1
Tl1 0.5000 0.7500 0.7500 1
P1 0.5000 0.2500 0.2500 1

***

# TlCdP2 (PBE-GGA, relaxed)
# **Calculated total energy**: -2.977 eV per atom
data_TlCdP2
_symmetry_space_group_name_H-M 'P 1'
_symmetry_Int_Tables_number 1
_symmetry_space_group_name_Hall 'P 1'
_cell_length_a 5.2207
_cell_length_b 5.2207
_cell_length_c 3.0897
_cell_angle_alpha 90.00
_cell_angle_beta 90.00
_cell_angle_gamma 90.00
loop_
_atom_site_label
_atom_site_fract_x
_atom_site_fract_y
_atom_site_fract_z
_atom_site_occupancy
P1 0.0000 0.0000 0.0000 1
P2 0.5000 0.5000 0.0000 1
Cd1 0.0000 0.5000 0.5000 1
Tl1 0.5000 0.0000 0.5000 1